This record from Alexandria via LeMat-Bulk describes a relaxed LiZrSb2 crystal. The functional is PBE-GGA.

## Properties
* uncorrected energy: -5.14 eV per atom
* polymorph energy (0 for the lowest one): 0.014 eV/atom
* crystal system: trigonal
* formation energy (no corrections): -466 meV/atom

a = 4.2558 Å, b = 4.2558 Å, c = 19.0308 Å
α = 90.00°, β = 90.00°, γ = 120.00°
Closest atoms and distances in Å follow each position.
Space group R3m (No. 160, hexagonal axes)
Asymmetric unit:
Li  0.0000  0.0000  0.0000 (multiplicity 3)  6 Sb 2.84-2.99
Zr  0.0000  0.0000  0.1745 (multiplicity 3)  6 Sb 2.94-2.95
Sb  0.0000  0.0000  0.5922 (multiplicity 3)  3 Li 2.84, 3 Zr 2.94, 1 Sb 3.11
Sb  0.0000  0.0000  0.7558 (multiplicity 3)  3 Zr 2.95, 3 Li 2.99, 1 Sb 3.11

---

This record from Alexandria via LeMat-Bulk describes a relaxed LiZrSb2 crystal. The functional is PBE-GGA.

## Properties
* uncorrected energy: -5.16 eV per atom
* polymorph energy (0 for the lowest one): 0.000 eV/atom
* crystal system: orthorhombic
* formation energy (no corrections): -480 meV/atom

a = 4.1369 Å, b = 5.2594 Å, c = 8.5358 Å
α = 90.00°, β = 90.00°, γ = 90.00°
Closest atoms and distances in Å follow each position.
Space group Cmmm (No. 65)
Asymmetric unit:
Li  0.0000  0.0000  0.0000 (multiplicity 2)  4 Sb 2.99, 4 Li 3.35
Zr  0.0000  0.0000  0.5000 (multiplicity 2)  4 Sb 2.95
Sb  0.0000  0.5000  0.2535 (multiplicity 4)  2 Zr 2.95, 2 Li 2.99

---

This record from Alexandria via LeMat-Bulk describes a relaxed LiZrSb2 crystal. The functional is PBE-GGA.

## Properties
* uncorrected energy: -4.80 eV per atom
* polymorph energy (0 for the lowest one): 0.358 eV/atom
* crystal system: orthorhombic
* formation energy (no corrections): -122 meV/atom

a = 4.4639 Å, b = 4.6138 Å, c = 9.2959 Å
α = 90.00°, β = 90.00°, γ = 90.00°
Closest atoms and distances in Å follow each position.
Space group Cmm2 (No. 35)
Asymmetric unit:
Li  0.0000  0.0000  0.0000 (multiplicity 2)  4 Sb 2.71-2.78, 2 Zr 2.99
Zr  0.0000  0.5000  0.7853 (multiplicity 2)  4 Li 2.99-3.05, 4 Sb 3.13-3.19, 4 Zr 3.21
Sb  0.0000  0.0000  0.5490 (multiplicity 2)  4 Zr 3.13-3.19, 4 Sb 3.21
Sb  0.0000  0.5000  0.1660 (multiplicity 2)  4 Li 2.71-2.78

---

This record from Alexandria via LeMat-Bulk describes a relaxed LiZrSb2 crystal. The functional is PBE-GGA.

## Properties
* uncorrected energy: -5.12 eV per atom
* polymorph energy (0 for the lowest one): 0.033 eV/atom
* crystal system: orthorhombic
* formation energy (no corrections): -446 meV/atom

a = 5.8755 Å, b = 5.8829 Å, c = 10.1797 Å
α = 90.00°, β = 90.00°, γ = 90.00°
Closest atoms and distances in Å follow each position.
Space group F222 (No. 22)
Asymmetric unit:
Li  0.0000  0.0000  0.0000 (multiplicity 4)  8 Sb 2.94-3.29, 4 Zr 3.29
Zr  0.2500  0.2500  0.2500 (multiplicity 4)  8 Sb 2.94-3.29, 4 Li 3.29
Sb  0.0000  0.0000  0.5000 (multiplicity 4)  4 Li 2.94, 4 Zr 3.29, 4 Sb 3.29
Sb  0.2500  0.2500  0.7500 (multiplicity 4)  4 Zr 2.94, 4 Li 3.29, 4 Sb 3.29

---

This record from Alexandria via LeMat-Bulk describes a relaxed LiZrSb2 crystal. The functional is PBE-GGA.

## Properties
* uncorrected energy: -5.12 eV per atom
* polymorph energy (0 for the lowest one): 0.038 eV/atom
* crystal system: trigonal
* formation energy (no corrections): -441 meV/atom

a = 3.8109 Å, b = 3.8109 Å, c = 23.7371 Å
α = 90.00°, β = 90.00°, γ = 120.00°
Closest atoms and distances in Å follow each position.
Space group R-3m (No. 166, hexagonal axes)
Asymmetric unit:
Li  0.0000  0.0000  0.0000 (multiplicity 3)  6 Sb 2.98
Zr  0.0000  0.0000  0.5000 (multiplicity 3)  6 Sb 2.94
Sb  0.0000  0.0000  0.2489 (multiplicity 6)  3 Zr 2.94, 3 Li 2.98

---

This record from Alexandria via LeMat-Bulk describes a relaxed LiZrSb2 crystal. The functional is PBE-GGA.

## Properties
* uncorrected energy: -5.03 eV per atom
* polymorph energy (0 for the lowest one): 0.124 eV/atom
* crystal system: orthorhombic
* formation energy (no corrections): -356 meV/atom

a = 4.3512 Å, b = 5.2880 Å, c = 7.8407 Å
α = 90.00°, β = 90.00°, γ = 90.00°
Closest atoms and distances in Å follow each position.
Space group Immm (No. 71)
Asymmetric unit:
Li  0.0000  0.0000  0.0000 (multiplicity 2)  4 Sb 2.84
Zr  0.0000  0.0000  0.5000 (multiplicity 2)  8 Sb 3.02-3.21
Sb  0.0000  0.5000  0.2670 (multiplicity 4)  2 Li 2.84, 2 Zr 3.02

---

This record from Alexandria via LeMat-Bulk describes a relaxed LiZr2Sb crystal. The functional is PBE-GGA.

## Properties
* uncorrected energy: -5.79 eV per atom
* crystal system: cubic
* formation energy (no corrections): -2 meV/atom

a = 6.9767 Å, b = 6.9767 Å, c = 6.9767 Å
α = 90.00°, β = 90.00°, γ = 90.00°
Closest atoms and distances in Å follow each position.
Space group F-43m (No. 216)
Asymmetric unit:
Li  0.0000  0.0000  0.0000 (multiplicity 4)  4 Sb 3.02, 4 Zr 3.02
Zr  0.0000  0.0000  0.5000 (multiplicity 4)  4 Zr 3.02, 4 Sb 3.02
Zr  0.2500  0.2500  0.7500 (multiplicity 4)  4 Li 3.02, 4 Zr 3.02
Sb  0.2500  0.2500  0.2500 (multiplicity 4)  4 Zr 3.02, 4 Li 3.02

---

This record from Alexandria via LeMat-Bulk describes a relaxed LiZrSb2 crystal. The functional is PBE-GGA.

## Properties
* uncorrected energy: -5.13 eV per atom
* polymorph energy (0 for the lowest one): 0.022 eV/atom
* crystal system: orthorhombic
* formation energy (no corrections): -458 meV/atom

a = 3.6355 Å, b = 3.8387 Å, c = 6.4276 Å
α = 90.00°, β = 90.00°, γ = 90.00°
Closest atoms and distances in Å follow each position.
Space group Pmmm (No. 47)
Asymmetric unit:
Li  0.0000  0.0000  0.0000 (multiplicity 1)  8 Sb 3.11, 2 Zr 3.21
Zr  0.0000  0.0000  0.5000 (multiplicity 1)  8 Sb 3.08, 2 Li 3.21
Sb  0.5000  0.5000  0.2538 (multiplicity 2)  4 Zr 3.08, 4 Li 3.11, 2 Sb 3.16-3.26

---

This record from Alexandria via LeMat-Bulk describes a relaxed LiZr2Sb crystal. The functional is PBE-GGA.

## Properties
* uncorrected energy: -5.73 eV per atom
* crystal system: trigonal
* formation energy (no corrections): 56 meV/atom

a = 3.1848 Å, b = 3.1848 Å, c = 31.1618 Å
α = 90.00°, β = 90.00°, γ = 120.00°
Closest atoms and distances in Å follow each position.
Space group R-3m (No. 166, hexagonal axes)
Asymmetric unit:
Li  0.0000  0.0000  0.0000 (multiplicity 3)  6 Li 3.18, 6 Zr 3.26
Zr  0.0000  0.0000  0.2470 (multiplicity 6)  3 Sb 3.11, 6 Zr 3.18, 3 Li 3.26
Sb  0.0000  0.0000  0.5000 (multiplicity 3)  6 Zr 3.11, 6 Sb 3.18

---

This record from Alexandria via LeMat-Bulk describes a relaxed LiZrSb2 crystal. The functional is PBE-GGA.

## Properties
* uncorrected energy: -4.65 eV per atom
* polymorph energy (0 for the lowest one): 0.511 eV/atom
* crystal system: cubic
* formation energy (no corrections): 31 meV/atom

a = 7.1718 Å, b = 7.1718 Å, c = 7.1718 Å
α = 90.00°, β = 90.00°, γ = 90.00°
Closest atoms and distances in Å follow each position.
Space group F-43m (No. 216)
Asymmetric unit:
Li  0.0000  0.0000  0.0000 (multiplicity 4)  4 Zr 3.11, 4 Sb 3.11
Zr  0.2500  0.2500  0.2500 (multiplicity 4)  4 Li 3.11, 4 Sb 3.11
Sb  0.0000  0.0000  0.5000 (multiplicity 4)  4 Zr 3.11, 4 Sb 3.11
Sb  0.2500  0.2500  0.7500 (multiplicity 4)  4 Li 3.11, 4 Sb 3.11

---

This record from Alexandria via LeMat-Bulk describes a relaxed LiZrSb3 crystal. The functional is PBE-GGA.

## Properties
* uncorrected energy: -4.51 eV per atom
* polymorph energy (0 for the lowest one): 0.000 eV/atom
* crystal system: cubic
* formation energy (no corrections): 57 meV/atom

a = 5.5694 Å, b = 5.5694 Å, c = 5.5694 Å
α = 90.00°, β = 90.00°, γ = 90.00°
Closest atoms and distances in Å follow each position.
Space group Pm-3m (No. 221)
Asymmetric unit:
Li  0.0000  0.0000  0.0000 (multiplicity 1)  12 Sb 3.94
Zr  0.5000  0.5000  0.5000 (multiplicity 1)  6 Sb 2.78
Sb  0.0000  0.5000  0.5000 (multiplicity 3)  2 Zr 2.78

---

This record from Alexandria via LeMat-Bulk describes a relaxed LiZr2Sb crystal. The functional is PBE-GGA.

## Properties
* uncorrected energy: -6.06 eV per atom
* crystal system: orthorhombic
* formation energy (no corrections): -277 meV/atom

a = 3.7278 Å, b = 3.7602 Å, c = 6.2171 Å
α = 90.00°, β = 90.00°, γ = 90.00°
Closest atoms and distances in Å follow each position.
Space group Pmm2 (No. 25)
Asymmetric unit:
Li  0.0000  0.0000  0.0000 (multiplicity 1)  6 Zr 2.95-3.27, 4 Sb 3.01
Zr  0.0000  0.0000  0.5263 (multiplicity 1)  2 Li 2.95-3.27, 4 Sb 3.05, 4 Zr 3.09
Zr  0.5000  0.5000  0.2714 (multiplicity 1)  4 Zr 3.09, 2 Sb 3.10-3.11, 4 Li 3.14
Sb  0.5000  0.5000  0.7706 (multiplicity 1)  4 Li 3.01, 6 Zr 3.05-3.11

---

This record from Alexandria via LeMat-Bulk describes a relaxed Li3ZrSb crystal. The functional is PBE-GGA.

## Properties
* uncorrected energy: -3.28 eV per atom
* polymorph energy (0 for the lowest one): 0.000 eV/atom
* crystal system: cubic
* formation energy (no corrections): 407 meV/atom

a = 4.8504 Å, b = 4.8504 Å, c = 4.8504 Å
α = 90.00°, β = 90.00°, γ = 90.00°
Closest atoms and distances in Å follow each position.
Space group Pm-3m (No. 221)
Asymmetric unit:
Li  0.0000  0.0000  0.5000 (multiplicity 3)  2 Sb 2.43
Zr  0.5000  0.5000  0.5000 (multiplicity 1)  12 Li 3.43
Sb  0.0000  0.0000  0.0000 (multiplicity 1)  6 Li 2.43

---

This record from Alexandria via LeMat-Bulk describes a relaxed LiZrSb2 crystal. The functional is PBE-GGA.

## Properties
* uncorrected energy: -5.01 eV per atom
* polymorph energy (0 for the lowest one): 0.151 eV/atom
* crystal system: cubic
* formation energy (no corrections): -329 meV/atom

a = 7.1655 Å, b = 7.1655 Å, c = 7.1655 Å
α = 90.00°, β = 90.00°, γ = 90.00°
Closest atoms and distances in Å follow each position.
Space group Fm-3m (No. 225)
Asymmetric unit:
Li  0.0000  0.0000  0.0000 (multiplicity 4)  8 Sb 3.10
Zr  0.0000  0.0000  0.5000 (multiplicity 4)  8 Sb 3.10
Sb  0.2500  0.2500  0.2500 (multiplicity 8)  4 Zr 3.10, 4 Li 3.10